Computed, not measured: a relaxed Sm9DyIn2 crystal at the GGA-PBE level of DFT.

The structure belongs to space group P4/mmm (No. 123); the cell edges are 4.955, 4.955 and 15.180 Å and the angles 90.00°, 90.00° and 90.00°. The asymmetric unit holds Sm at (0.000, 0.000, 0.000), Sm at (0.000, 0.000, 0.337), Sm at (0.000, 0.500, 0.173), Sm at (0.000, 0.500, 0.500), Dy at (0.500, 0.500, 0.000) and In at (0.500, 0.500, 0.339).

The crystal system is tetragonal. The raw total energy comes out at -4.5496 eV per atom. Its formation energy is -0.17 eV per atom. The spin magnetization comes out at 0.00 μB/cell.

---

Computed, not measured: a relaxed Sm6DyIn3 crystal at the GGA-PBE level of DFT.

The structure belongs to space group Cmc2_1 (No. 36); the cell edges are 10.573, 15.635 and 7.817 Å and the angles 90.00°, 90.00° and 90.00°. The asymmetric unit holds Sm at (0.000, 0.046, 0.000), Sm at (0.000, 0.306, 0.849), Sm at (0.233, 0.314, 0.500), Sm at (0.240, 0.467, 0.812), Dy at (0.000, 0.202, 0.291), In at (0.000, 0.453, 0.535) and In at (0.143, 0.137, 0.640).

The crystal system is orthorhombic. The raw total energy comes out at -4.2544 eV per atom. Its formation energy is -0.14 eV per atom. The spin magnetization comes out at 0.00 μB/cell.

---

Computed, not measured: a relaxed Sm6Dy2In crystal at the GGA-PBE level of DFT.

The structure belongs to space group C2/m (No. 12); the cell edges are 16.928, 9.758 and 3.435 Å and the angles 90.00°, 90.07° and 90.00°. The asymmetric unit holds Sm at (0.000, 0.176, 0.000), Sm at (0.164, 0.337, 0.999), Dy at (0.166, 0.000, 0.500) and In at (0.000, 0.500, 0.500).

The crystal system is monoclinic. The raw total energy comes out at -4.4809 eV per atom. Its formation energy is -0.01 eV per atom. The spin magnetization comes out at 0.00 μB/cell.

---

Computed, not measured: a relaxed Sm2Dy5In crystal at the GGA-PBE level of DFT.

The structure belongs to space group Cm (No. 8); the cell edges are 11.245, 7.118 and 8.304 Å and the angles 90.00°, 132.30° and 90.00°. The asymmetric unit holds Sm at (0.000, 0.000, 0.000), Sm at (0.109, 0.000, 0.684), Dy at (0.074, 0.500, 0.682), Dy at (0.256, 0.263, 0.514), Dy at (0.338, 0.250, 0.174) and In at (0.015, 0.500, 0.029).

The crystal system is monoclinic. The raw total energy comes out at -4.5029 eV per atom. Its formation energy is -0.10 eV per atom. The spin magnetization comes out at 0.00 μB/cell.

---

Computed, not measured: a relaxed Sm12DyIn6 crystal at the GGA-PBE level of DFT.

The structure belongs to space group R-3 (No. 148, hexagonal axes); the cell edges are 11.6329, 11.6329 and 14.6271 Å and the angles 90.00°, 90.00° and 120.00°. The asymmetric unit holds Sm at (0.0627, 0.8453, 0.4098), Sm at (0.0704, 0.1895, 0.8062), Dy at (0.0000, 0.0000, 0.0000) and In at (0.0304, 0.4397, 0.7133).

The crystal system is trigonal. The raw total energy comes out at -4.3167 eV per atom. Its formation energy is -0.23 eV per atom. The spin magnetization comes out at 0.00 μB/cell.

---

Computed, not measured: a relaxed Sm2Dy4In crystal at the GGA-PBE level of DFT.

The structure belongs to space group P2_1/m (No. 11); the cell edges are 5.753, 6.676 and 11.583 Å and the angles 90.00°, 103.61° and 90.00°. The asymmetric unit holds Sm at (0.029, 0.250, 0.475), Sm at (0.339, 0.750, 0.077), Dy at (0.155, 0.007, 0.785), Dy at (0.214, 0.250, 0.063), Dy at (0.401, 0.750, 0.374) and In at (0.455, 0.250, 0.334).

The crystal system is monoclinic. The raw total energy comes out at -4.4042 eV per atom. Its formation energy is -0.03 eV per atom. The spin magnetization comes out at 0.00 μB/cell.

---

Computed, not measured: a relaxed Sm5Dy2In crystal at the GGA-PBE level of DFT.

The structure belongs to space group I4/mmm (No. 139); the cell edges are 4.964, 4.964 and 20.380 Å and the angles 90.00°, 90.00° and 90.00°. The asymmetric unit holds Sm at (0.000, 0.000, 0.000), Sm at (0.000, 0.500, 0.123), Dy at (0.000, 0.000, 0.248) and In at (0.000, 0.000, 0.500).

The crystal system is tetragonal. The raw total energy comes out at -4.5547 eV per atom. Its formation energy is -0.11 eV per atom. The spin magnetization comes out at 0.00 μB/cell.

---

Computed, not measured: a relaxed SmDy2In3 crystal at the GGA-PBE level of DFT.

The structure belongs to space group P4/mmm (No. 123); the cell edges are 3.764, 3.764 and 11.459 Å and the angles 90.00°, 90.00° and 90.00°. The asymmetric unit holds Sm at (0.000, 0.000, 0.000), Dy at (0.000, 0.000, 0.337), In at (0.500, 0.500, 0.173) and In at (0.500, 0.500, 0.500).

The crystal system is tetragonal. The raw total energy comes out at -4.1650 eV per atom. Its formation energy is -0.48 eV per atom. The spin magnetization comes out at 0.00 μB/cell.

---

Computed, not measured: a relaxed Sm7Dy3In crystal at the GGA-PBE level of DFT.

The structure belongs to space group P3m1 (No. 156); the cell edges are 7.0479, 7.0479 and 8.5767 Å and the angles 90.00°, 90.00° and 120.00°. The asymmetric unit holds Sm at (0.0000, 0.0000, 0.0000), Sm at (0.1641, 0.3282, 0.3384), Sm at (0.5020, 0.0040, 0.0093), Dy at (0.3329, 0.1664, 0.6705) and In at (0.6667, 0.3333, 0.3457).

The crystal system is trigonal. The raw total energy comes out at -4.3994 eV per atom. Its formation energy is 0.11 eV per atom. The spin magnetization comes out at 0.00 μB/cell.

---

Computed, not measured: a relaxed Sm3Dy2In crystal at the GGA-PBE level of DFT.

The structure belongs to space group Cmmm (No. 65); the cell edges are 4.934, 15.214 and 4.910 Å and the angles 90.00°, 90.00° and 90.00°. The asymmetric unit holds Sm at (0.000, 0.000, 0.000), Sm at (0.000, 0.332, 0.000), Dy at (0.000, 0.162, 0.500) and In at (0.000, 0.500, 0.500).

The crystal system is orthorhombic. The raw total energy comes out at -4.5068 eV per atom. Its formation energy is -0.16 eV per atom. The spin magnetization comes out at 0.00 μB/cell.

---

Computed, not measured: a relaxed Sm2Dy8In crystal at the GGA-PBE level of DFT.

The structure belongs to space group Immm (No. 71); the cell edges are 5.426, 7.589 and 17.155 Å and the angles 90.00°, 90.00° and 90.00°. The asymmetric unit holds Sm at (0.000, 0.000, 0.193), Dy at (0.000, 0.241, 0.000), Dy at (0.000, 0.270, 0.363), Dy at (0.000, 0.500, 0.179) and In at (0.000, 0.000, 0.500).

The crystal system is orthorhombic. The raw total energy comes out at -4.4493 eV per atom. Its formation energy is 0.00 eV per atom. The spin magnetization comes out at 0.00 μB/cell.

---

Computed, not measured: a relaxed Sm2Dy2In3 crystal at the GGA-PBE level of DFT.

The structure belongs to space group Cmmm (No. 65); the cell edges are 4.576, 24.721 and 3.498 Å and the angles 90.00°, 90.00° and 90.00°. The asymmetric unit holds Sm at (0.000, 0.070, 0.000), Dy at (0.000, 0.202, 0.000), In at (0.000, 0.355, 0.500) and In at (0.000, 0.500, 0.500).

The crystal system is orthorhombic. The raw total energy comes out at -4.1453 eV per atom. Its formation energy is -0.31 eV per atom. The spin magnetization comes out at 0.00 μB/cell.

---

Computed, not measured: a relaxed Sm7DyIn2 crystal at the GGA-PBE level of DFT.

The structure belongs to space group Cmmm (No. 65); the cell edges are 9.278, 15.852 and 5.401 Å and the angles 90.00°, 90.00° and 90.00°. The asymmetric unit holds Sm at (0.000, 0.000, 0.000), Sm at (0.000, 0.276, 0.500), Sm at (0.181, 0.380, 0.000), Dy at (0.000, 0.500, 0.500) and In at (0.000, 0.196, 0.000).

The crystal system is orthorhombic. The raw total energy comes out at -3.9783 eV per atom. Its formation energy is 0.33 eV per atom. The spin magnetization comes out at 0.01 μB/cell.

---

Computed, not measured: a relaxed Sm2DyIn crystal at the GGA-PBE level of DFT.

The structure belongs to space group P4/mmm (No. 123); the cell edges are 3.609, 3.609 and 9.427 Å and the angles 90.00°, 90.00° and 90.00°. The asymmetric unit holds Sm at (0.000, 0.000, 0.228), Dy at (0.500, 0.500, 0.500) and In at (0.500, 0.500, 0.000).

The crystal system is tetragonal. The raw total energy comes out at -4.4078 eV per atom. Its formation energy is -0.21 eV per atom. The spin magnetization comes out at 0.00 μB/cell.

---

Computed, not measured: a relaxed SmDy5In6 crystal at the GGA-PBE level of DFT.

The structure belongs to space group Cmmm (No. 65); the cell edges are 5.339, 16.026 and 7.519 Å and the angles 90.00°, 90.00° and 90.00°. The asymmetric unit holds Sm at (0.000, 0.000, 0.000), Dy at (0.000, 0.000, 0.500), Dy at (0.000, 0.333, 0.000), Dy at (0.000, 0.335, 0.500), In at (0.000, 0.168, 0.253) and In at (0.000, 0.500, 0.252).

The crystal system is orthorhombic. The raw total energy comes out at -4.1511 eV per atom. Its formation energy is -0.47 eV per atom. The spin magnetization comes out at 0.00 μB/cell.

---

Computed, not measured: a relaxed Sm3Dy2In6 crystal at the GGA-PBE level of DFT.

The structure belongs to space group I4/mmm (No. 139); the cell edges are 5.835, 5.835 and 22.431 Å and the angles 90.00°, 90.00° and 90.00°. The asymmetric unit holds Sm at (0.000, 0.000, 0.000), Sm at (0.000, 0.000, 0.148), Dy at (0.000, 0.000, 0.425), In at (0.000, 0.000, 0.288) and In at (0.000, 0.500, 0.071).

The crystal system is tetragonal. The raw total energy comes out at -3.5655 eV per atom. Its formation energy is 0.05 eV per atom. The spin magnetization comes out at 0.00 μB/cell.

---

Computed, not measured: a relaxed Sm12Dy5In2 crystal at the GGA-PBE level of DFT.

The structure belongs to space group C2/m (No. 12); the cell edges are 15.476, 9.329 and 8.531 Å and the angles 90.00°, 92.95° and 90.00°. The asymmetric unit holds Sm at (0.056, 0.000, 0.324), Sm at (0.082, 0.500, 0.884), Sm at (0.124, 0.195, 0.664), Sm at (0.148, 0.315, 0.235), Dy at (0.000, 0.500, 0.500), Dy at (0.189, 0.000, 0.011), Dy at (0.232, 0.500, 0.582) and In at (0.000, 0.177, 0.000).

The crystal system is monoclinic. The raw total energy comes out at -4.4884 eV per atom. Its formation energy is -0.01 eV per atom. The spin magnetization comes out at 0.00 μB/cell.

---

Computed, not measured: a relaxed Sm6DyIn crystal at the GGA-PBE level of DFT.

The structure belongs to space group P4/mmm (No. 123); the cell edges are 4.974, 4.974 and 10.215 Å and the angles 90.00°, 90.00° and 90.00°. The asymmetric unit holds Sm at (0.000, 0.000, 0.000), Sm at (0.000, 0.000, 0.500), Sm at (0.000, 0.500, 0.244), Dy at (0.500, 0.500, 0.500) and In at (0.500, 0.500, 0.000).

The crystal system is tetragonal. The raw total energy comes out at -4.5756 eV per atom. Its formation energy is -0.12 eV per atom. The spin magnetization comes out at 0.00 μB/cell.

---

Computed, not measured: a relaxed SmDy3In2 crystal at the GGA-PBE level of DFT.

The structure belongs to space group Pmc2_1 (No. 26); the cell edges are 5.231, 9.838 and 6.742 Å and the angles 90.00°, 90.00° and 90.00°. The asymmetric unit holds Sm at (0.000, 0.037, 0.000), Dy at (0.000, 0.322, 0.653), Dy at (0.500, 0.183, 0.278), Dy at (0.500, 0.461, 0.934), In at (0.000, 0.358, 0.179) and In at (0.500, 0.145, 0.751).

The crystal system is orthorhombic. The raw total energy comes out at -4.3565 eV per atom. Its formation energy is -0.36 eV per atom. The spin magnetization comes out at 0.00 μB/cell.

---

Computed, not measured: a relaxed Sm2Dy3In4 crystal at the GGA-PBE level of DFT.

The structure belongs to space group C2/m (No. 12); the cell edges are 9.190, 5.312 and 10.367 Å and the angles 90.00°, 90.11° and 90.00°. The asymmetric unit holds Sm at (0.167, 0.000, 0.278), Dy at (0.000, 0.500, 0.500), Dy at (0.166, 0.000, 0.925), In at (0.000, 0.500, 0.151) and In at (0.166, 0.000, 0.601).

The crystal system is monoclinic. The raw total energy comes out at -4.2092 eV per atom. Its formation energy is -0.41 eV per atom. The spin magnetization comes out at 0.00 μB/cell.